Entry 1:
A relaxed structure of PrTlAg2I6. Source: the Alexandria database, functional PBE.

a b c (Å): 7.979 7.990 8.594
angles (deg): 62.34 62.40 60.06
Space group P1 (No. 1)
One atom of each set of equivalent atoms:
Pr (0.000, 0.000, 0.000) x1
Tl (0.486, 0.485, 0.544) x1
Ag (0.183, 0.181, 0.453) x1
Ag (0.672, 0.670, 0.986) x1
I (0.029, 0.423, 0.721) x1
I (0.277, 0.934, 0.211) x1
I (0.425, 0.825, 0.723) x1
I (0.579, 0.275, 0.212) x1
I (0.827, 0.027, 0.721) x1
I (0.934, 0.579, 0.210) x1

Results
Final energy = -2.958 eV/atom
ΔE_f (raw) = -7.431 eV/f.u.

Entry 2:
A relaxed structure of Ag2PtI8. Source: the Alexandria database, functional PBE.

a b c (Å): 13.128 11.896 7.505
angles (deg): 90.00 117.24 90.00
Space group C2/m (No. 12)
One atom of each set of equivalent atoms:
Ag (0.134, 0.000, 0.111) x4
Pt (0.000, 0.000, 0.500) x2
I (0.072, 0.161, 0.329) x8
I (0.108, 0.500, 0.671) x4
I (0.213, 0.000, 0.825) x4

Results
Final energy = -2.300 eV/atom
ΔE_f (raw) = -1.159 eV/f.u.